No. 1
Nd3Y2HoTe6: optimized geometry, GGA-PBE.

The total energy is -5.58 eV per atom.

The space group is C2/m (No. 12) and the conventional cell measures 19.382, 4.384 and 8.949 Å, with angles of 90.00, 104.41 and 90.00 degrees. The distinct sites, in fractional coordinates, are Nd at (0.000, 0.000, 0.000), Nd at (0.168, 0.500, 0.333), Y at (0.167, 0.500, 0.834), Ho at (0.000, 0.000, 0.500), Te at (0.002, 0.500, 0.742), Te at (0.163, 0.000, 0.589) and Te at (0.169, 0.000, 0.077).

No. 2
NdY2HoTe6: optimized geometry, GGA-PBE.

The total energy is -5.49 eV per atom.

The space group is R3 (No. 146, hexagonal axes) and the conventional cell measures 7.7592, 7.7592 and 21.1852 Å, with angles of 90.00, 90.00 and 120.00 degrees. The distinct sites, in fractional coordinates, are Nd at (0.0000, 0.0000, 0.0000), Y at (0.0000, 0.0000, 0.1876), Y at (0.0000, 0.0000, 0.6896), Ho at (0.0000, 0.0000, 0.5026), Te at (0.0173, 0.3491, 0.7640) and Te at (0.0318, 0.6790, 0.2623).

No. 3
Nd4YHo3Te8: optimized geometry, GGA-PBE.

The total energy is -5.37 eV per atom.

The space group is R-3m (No. 166, hexagonal axes) and the conventional cell measures 8.7431, 8.7431 and 22.1768 Å, with angles of 90.00, 90.00 and 120.00 degrees. The distinct sites, in fractional coordinates, are Nd at (0.0000, 0.0000, 0.0000), Nd at (0.0000, 0.5000, 0.0000), Y at (0.0000, 0.0000, 0.5000), Ho at (0.0000, 0.5000, 0.5000), Te at (0.0000, 0.0000, 0.2452) and Te at (0.0013, 0.5006, 0.7545).

No. 4
NdYHo2Te6: optimized geometry, GGA-PBE.

The total energy is -5.29 eV per atom.

The space group is R3 (No. 146, hexagonal axes) and the conventional cell measures 7.7529, 7.7529 and 21.1391 Å, with angles of 90.00, 90.00 and 120.00 degrees. The distinct sites, in fractional coordinates, are Nd at (0.0000, 0.0000, 0.0000), Y at (0.0000, 0.0000, 0.4972), Ho at (0.0000, 0.0000, 0.3101), Ho at (0.0000, 0.0000, 0.8121), Te at (0.0060, 0.3188, 0.9018) and Te at (0.0170, 0.6501, 0.0696).

No. 5
Nd3YHo3Te8: optimized geometry, GGA-PBE.

The total energy is -5.38 eV per atom.

The space group is R-3m (No. 166, hexagonal axes) and the conventional cell measures 8.7781, 8.7781 and 21.6685 Å, with angles of 90.00, 90.00 and 120.00 degrees. The distinct sites, in fractional coordinates, are Nd at (0.0000, 0.5000, 0.0000), Y at (0.0000, 0.0000, 0.5000), Ho at (0.0000, 0.5000, 0.5000), Te at (0.0000, 0.0000, 0.2457) and Te at (0.0099, 0.5050, 0.7518).

No. 6
Nd2YHo3Te6: optimized geometry, GGA-PBE.

The total energy is -5.37 eV per atom.

The space group is C2/m (No. 12) and the conventional cell measures 19.238, 4.360 and 8.867 Å, with angles of 90.00, 104.09 and 90.00 degrees. The distinct sites, in fractional coordinates, are Nd at (0.169, 0.000, 0.338), Y at (0.000, 0.500, 0.000), Ho at (0.000, 0.500, 0.500), Ho at (0.171, 0.000, 0.835), Te at (0.004, 0.000, 0.750), Te at (0.162, 0.500, 0.591) and Te at (0.165, 0.500, 0.074).

No. 7
Nd2YHoTe6: optimized geometry, GGA-PBE.

The total energy is -5.32 eV per atom.

The space group is R3 (No. 146, hexagonal axes) and the conventional cell measures 7.8353, 7.8353 and 21.2292 Å, with angles of 90.00, 90.00 and 120.00 degrees. The distinct sites, in fractional coordinates, are Nd at (0.0000, 0.0000, 0.0000), Nd at (0.0000, 0.0000, 0.4997), Y at (0.0000, 0.0000, 0.1897), Ho at (0.0000, 0.0000, 0.6894), Te at (0.0323, 0.3469, 0.7653) and Te at (0.0329, 0.6838, 0.2656).

No. 8
NdY3Ho2Te6: optimized geometry, GGA-PBE.

The total energy is -5.66 eV per atom.

The space group is C2/m (No. 12) and the conventional cell measures 19.074, 4.354 and 8.805 Å, with angles of 90.00, 102.89 and 90.00 degrees. The distinct sites, in fractional coordinates, are Nd at (0.000, 0.000, 0.000), Y at (0.000, 0.000, 0.500), Y at (0.161, 0.500, 0.834), Ho at (0.164, 0.500, 0.330), Te at (0.002, 0.500, 0.259), Te at (0.169, 0.000, 0.583) and Te at (0.172, 0.000, 0.089).

No. 9
Nd6HoTh: optimized geometry, GGA-PBE.

Its formation enthalpy at 0 K is 130 meV/atom.

The space group is I4/mmm (No. 139) and the conventional cell measures 6.082, 6.082 and 14.866 Å, with angles of 90.00, 90.00 and 90.00 degrees. The distinct sites, in fractional coordinates, are Nd at (0.000, 0.000, 0.243), Nd at (0.000, 0.500, 0.121), Ho at (0.000, 0.000, 0.500) and Th at (0.000, 0.000, 0.000).

No. 10
Nd5HoTh: optimized geometry, GGA-PBE.

Its formation enthalpy at 0 K is 214 meV/atom.

The space group is P-1 (No. 2) and the conventional cell measures 6.294, 6.304 and 7.073 Å, with angles of 98.89, 99.00 and 111.37 degrees. The distinct sites, in fractional coordinates, are Nd at (0.000, 0.000, 0.000), Nd at (0.028, 0.592, 0.268), Nd at (0.405, 0.973, 0.730), Ho at (0.500, 0.500, 0.500) and Th at (0.500, 0.500, 0.000).

No. 11
Nd4Ho5Th2: optimized geometry, GGA-PBE.

Its formation enthalpy at 0 K is 264 meV/atom.

The space group is Immm (No. 71) and the conventional cell measures 3.504, 11.613 and 18.380 Å, with angles of 90.00, 90.00 and 90.00 degrees. The distinct sites, in fractional coordinates, are Nd at (0.000, 0.000, 0.091), Nd at (0.000, 0.263, 0.500), Ho at (0.000, 0.292, 0.319), Ho at (0.000, 0.500, 0.000) and Th at (0.000, 0.000, 0.299).

No. 12
Nd3Ho4Th: optimized geometry, GGA-PBE.

Its formation enthalpy at 0 K is 48 meV/atom.

The space group is Pmn2_1 (No. 31) and the conventional cell measures 11.602, 7.249 and 6.290 Å, with angles of 90.00, 90.00 and 90.00 degrees. The distinct sites, in fractional coordinates, are Nd at (0.000, 0.122, 0.000), Nd at (0.248, 0.124, 0.333), Ho at (0.000, 0.378, 0.504), Ho at (0.000, 0.627, 0.007), Ho at (0.248, 0.624, 0.343) and Th at (0.000, 0.870, 0.509).